Entry from the Alexandria database: a relaxed Sr2LaCr crystal (GGA-PBE).

```
data_Sr2LaCr
_cell_length_a 8.347
_cell_length_b 8.347
_cell_length_c 8.347
_cell_angle_alpha 90.00
_cell_angle_beta 90.00
_cell_angle_gamma 90.00
_symmetry_space_group_name_H-M 'F -4 3 m'
_symmetry_Int_Tables_number 216
_symmetry_space_group_name_Hall 'F -4 2 3'
loop_
_atom_site_label
_atom_site_fract_x
_atom_site_fract_y
_atom_site_fract_z
Sr1 0.000 0.000 0.000
Sr2 0.250 0.250 0.250
La1 0.000 0.000 0.500
Cr1 0.250 0.250 0.750
```

Summary:
Volume = 581.5 Å³ per cell
Energy above the most stable polymorph in this dataset = 73 kJ/mol of formula units
D(E_F) = 1.22 states/eV per atom
Total DFT energy (no corrections) = -63.37 eV per cell
DFT formation energy = 0.518 eV per atom